Version a
Material: AgTe2Ru
Method: DFT, PBE
State: optimized geometry

abc: 4.2126 4.2869 6.0128
angles: 90.00 94.88 90.00
Sites, in units of the cell vectors:
1 Ag 0.0000 0.0000 0.0000
2 Te 0.4512 0.5000 0.9283
3 Te 0.8710 0.0000 0.4509
4 Ru 0.9192 0.5000 0.6805

Computed properties:
- space group = Pm, No. 6
- crystal system = monoclinic
- volume (A^3/atom) = 27.0

***

Version b
Material: AgTe2Ru
Method: DFT, PBE
State: optimized geometry

abc: 4.8815 4.8815 3.4609
angles: 90.00 90.00 90.00
Sites, in units of the cell vectors:
1 Ag 0.0000 0.0000 0.0000
2 Te 0.0000 0.5000 0.5000
3 Te 0.5000 0.0000 0.5000
4 Ru 0.5000 0.5000 0.0000

Computed properties:
- space group = P4/mmm, No. 123
- crystal system = tetragonal
- volume (A^3/atom) = 20.6

***

Name the least stable of them. version b.

***

Version a
Material: NpUC2
Method: DFT, PBE
State: optimized geometry

abc: 6.0525 6.0525 6.0525
angles: 33.69 33.69 33.69
Sites, in units of the cell vectors:
1 Np 0.0000 0.0000 0.0000
2 U 0.5000 0.5000 0.5000
3 C 0.2441 0.2441 0.2441
4 C 0.7559 0.7559 0.7559

Computed properties:
- space group = R-3m, No. 166
- crystal system = trigonal
- volume (A^3/atom) = 15.2

***

Version b
Material: NpUC2
Method: DFT, PBE
State: optimized geometry

abc: 6.1437 6.1437 6.1437
angles: 32.49 32.49 32.49
Sites, in units of the cell vectors:
1 Np 0.0000 0.0000 0.0000
2 U 0.1645 0.1645 0.1645
3 C 0.4155 0.4155 0.4155
4 C 0.5838 0.5838 0.5838

Computed properties:
- space group = R3m, No. 160
- crystal system = trigonal
- volume (A^3/atom) = 14.9

***

Name the least stable of them. version b.

***

Version a
Material: SrReIr
Method: DFT, PBE
State: optimized geometry

abc: 4.8006 4.8006 2.9092
angles: 90.00 90.00 120.00
Sites, in units of the cell vectors:
1 Sr 0.0000 0.0000 0.0000
2 Re 0.3333 0.6667 0.5000
3 Ir 0.6667 0.3333 0.5000

Computed properties:
- space group = P-6m2, No. 187
- crystal system = hexagonal
- volume (A^3/atom) = 19.4

***

Version b
Material: SrReIr
Method: DFT, PBE
State: optimized geometry

abc: 6.4682 4.4264 10.8055
angles: 90.00 90.00 90.00
Sites, in units of the cell vectors:
1 Sr 0.1407 0.2500 0.1306
2 Sr 0.3593 0.7500 0.6306
3 Sr 0.6407 0.2500 0.3694
4 Sr 0.8593 0.7500 0.8694
5 Re 0.0376 0.7500 0.3760
6 Re 0.4624 0.2500 0.8760
7 Re 0.5376 0.7500 0.1240
8 Re 0.9624 0.2500 0.6240
9 Ir 0.1658 0.2500 0.4370
10 Ir 0.3342 0.7500 0.9370
11 Ir 0.6658 0.2500 0.0630
12 Ir 0.8342 0.7500 0.5630

Computed properties:
- space group = Pnma, No. 62
- crystal system = orthorhombic
- volume (A^3/atom) = 25.8

***

Name the least stable of them. version a.